The following is a PBE calculation of a relaxed NaMgNb2Se crystal, from the Alexandria database.

Cell lengths 4.8414, 4.8414, 5.0933 Å; angles 90.00, 90.00, 90.00 degrees
Last column: nearest neighbours and their distance in Å.
Space group P4/mmm (No. 123)
Symmetry-distinct sites (fractional):
Na: 0.0000 0.0000 0.0000 [1 per cell]  2 Se 2.55
Mg: 0.5000 0.5000 0.0000 [1 per cell]  4 Na 3.42, 8 Nb 3.51
Nb: 0.0000 0.5000 0.5000 [2 per cell]  2 Se 2.42
Se: 0.0000 0.0000 0.5000 [1 per cell]  4 Nb 2.42, 2 Na 2.55

## Properties
Energy relative to the elements, uncorrected ... 2.43 eV/f.u.
DOS(E_F) ... 1.088 states/eV per atom

The following is a PBE calculation of a relaxed GaGe2Rh2 crystal, from the Alexandria database.

Cell lengths 7.4235, 7.4235, 2.8688 Å; angles 90.00, 90.00, 90.00 degrees
Last column: nearest neighbours and their distance in Å.
Space group P4/mbm (No. 127)
Symmetry-distinct sites (fractional):
Ga: 0.0000 0.0000 0.0000 [2 per cell]  4 Rh 2.84, 2 Ga 2.87, 8 Ge 3.17
Ge: 0.1502 0.3498 0.5000 [4 per cell]  6 Rh 2.58-2.62, 2 Ge 2.87
Rh: 0.1456 0.6456 0.0000 [4 per cell]  6 Ge 2.58-2.62, 2 Ga 2.84, 2 Rh 2.87

## Properties
Formation energy ... -0.310 eV/atom
Offset from the most stable computed form ... 0.0925 eV per atom
DOS(E_F) ... 0.517 states/eV per atom

The following is a PBE calculation of a relaxed CeTm3Sb4 crystal, from the Alexandria database.

Cell lengths 8.7522, 12.3750, 4.3825 Å; angles 90.00, 90.00, 90.00 degrees
Last column: nearest neighbours and their distance in Å.
Space group Cmmm (No. 65)
Symmetry-distinct sites (fractional):
Ce: 0.0000 0.0000 0.0000 [2 per cell]  6 Sb 3.13-3.14
Tm: 0.0000 0.5000 0.0000 [2 per cell]  6 Sb 3.06
Tm: 0.2500 0.2500 0.5000 [4 per cell]  6 Sb 3.09-3.10
Sb: 0.0000 0.2529 0.0000 [4 per cell]  5 Tm 3.06-3.10, 1 Ce 3.13
Sb: 0.2435 0.5000 0.5000 [4 per cell]  4 Tm 3.06-3.09, 2 Ce 3.14

## Properties
Energy relative to the elements, uncorrected ... -8.46 eV/f.u.
DOS(E_F) ... 0.870 states/eV per atom

The following is a PBE calculation of a relaxed Sr2TlCl crystal, from the Alexandria database.

Cell lengths 4.3392, 7.0367, 9.5633 Å; angles 90.00, 90.00, 90.00 degrees
Last column: nearest neighbours and their distance in Å.
Space group Immm (No. 71)
Symmetry-distinct sites (fractional):
Sr: 0.0000 0.0000 0.2134 [4 per cell]  2 Cl 2.98
Tl: 0.0000 0.5000 0.0000 [2 per cell]  4 Sr 3.50
Cl: 0.0000 0.5000 0.5000 [2 per cell]  4 Sr 2.98

## Properties
Offset from the most stable computed form ... 0.2006 eV per atom
Energy relative to the elements, uncorrected ... -3.54 eV/f.u.
DOS(E_F) ... 1.069 states/eV per atom

The following is a PBE calculation of a relaxed Li2CdOs crystal, from the Alexandria database.

Cell lengths 2.7647, 4.7181, 4.8325 Å; angles 90.00, 90.00, 90.00 degrees
Last column: nearest neighbours and their distance in Å.
Space group Pmmm (No. 47)
Symmetry-distinct sites (fractional):
Li: 0.0000 0.0000 0.0000 [1 per cell]  4 Os 2.73, 6 Li 2.76-2.78
Li: 0.5000 0.0000 0.5000 [1 per cell]  4 Cd 2.73, 6 Li 2.76-2.78
Cd: 0.0000 0.5000 0.5000 [1 per cell]  4 Li 2.73, 2 Cd 2.76, 4 Os 2.78
Os: 0.5000 0.5000 0.0000 [1 per cell]  4 Li 2.73, 2 Os 2.76, 4 Cd 2.78

## Properties
Formation energy ... 0.268 eV/atom
DOS(E_F) ... 0.448 states/eV per atom

The following is a PBE calculation of a relaxed LuZnPb2 crystal, from the Alexandria database.

Cell lengths 3.8724, 3.8724, 6.8158 Å; angles 90.00, 90.00, 90.00 degrees
Last column: nearest neighbours and their distance in Å.
Space group P4/mmm (No. 123)
Symmetry-distinct sites (fractional):
Lu: 0.0000 0.0000 0.0000 [1 per cell]  8 Pb 3.29, 2 Zn 3.41
Zn: 0.0000 0.0000 0.5000 [1 per cell]  8 Pb 3.17, 2 Lu 3.41
Pb: 0.5000 0.5000 0.2666 [2 per cell]  4 Zn 3.17, 1 Pb 3.18, 4 Lu 3.29

## Properties
Formation energy ... -0.076 eV/atom
Offset from the most stable computed form ... 0.0932 eV per atom
DOS(E_F) ... 0.514 states/eV per atom